First-principles (PBE with a Hubbard U) data for TaInW2F after structural relaxation, as listed in Alexandria via LeMat-Bulk.

POSCAR file:
```
TaInW2F
1.0
-1.497 -3.829 2.879
0.762 -3.483 -4.236
4.740 -0.749 1.469
F Ta W In
1 1 2 1
Direct
0.500 0.500 0.500
0.000 0.000 0.000
0.000 0.000 0.500
0.500 0.000 0.000
0.000 0.500 0.000
```

Computed properties:
Total DFT energy (no corrections)   -4.582 eV/atom
Total magnetic moment   3.2 Bohr magnetons per cell